# 1
CaDy2Rh (PBE-GGA, relaxed); DFT total energy = -4.90 eV per atom; space-group type = R-3m (166)
1.0
3.878 0.000 0.000
-1.939 3.358 0.000
0.000 0.000 31.523
Ca Dy Rh
3 6 3
Cartesian
0.000 0.000 0.000
0.000 2.239 21.016
1.939 1.119 10.508
0.000 0.000 3.694
0.000 0.000 27.829
0.000 2.239 17.321
0.000 2.239 24.710
1.939 1.119 6.813
1.939 1.119 14.202
0.000 0.000 15.762
0.000 2.239 5.254
1.939 1.119 26.270



# 2
Fe3Se (PBE-GGA, relaxed); formation energy (no corrections) = 0.20 eV/atom; DFT total energy = -7.02 eV per atom; space-group type = Pmmn (59)
1.0
4.287 0.000 0.000
0.000 5.106 0.000
0.000 0.000 4.788
Fe Se
6 2
Cartesian
1.072 5.105 0.757
1.072 1.276 3.328
1.072 2.553 0.757
3.215 0.000 4.032
3.215 2.552 4.032
3.215 3.829 1.461
1.072 3.829 3.083
3.215 1.276 1.706



no.,energy above the lowest structure with this stoichiometry (eV/f.u.)
1,0.54
2,0.15